(1)
First-principles (PBE-GGA) data for YRe2Pt after structural relaxation, as listed in Alexandria.

a = 3.3197 Å, b = 4.3935 Å, c = 4.8200 Å
α = 90.00°, β = 90.00°, γ = 90.00°
Atoms (fractional coordinates):
1 Re 0.5000 0.5000 0.0000
2 Re 0.0000 0.0000 0.0000
3 Pt 0.0000 0.5000 0.5000
4 Y 0.5000 0.0000 0.5000

Calculated values
SG = No. 47
calculated total energy = -9.28 eV/atom

---

(2)
First-principles (PBE-GGA) data for CdHg2W after structural relaxation, as listed in Alexandria.

a = 5.5543 Å, b = 5.5543 Å, c = 5.5543 Å
α = 136.48°, β = 136.48°, γ = 63.24°
Atoms (fractional coordinates):
1 Hg 0.0000 0.0000 0.0000
2 Hg 0.2500 0.7500 0.5000
3 Cd 0.7500 0.2500 0.5000
4 W 0.5000 0.5000 0.0000

Calculated values
SG = No. 119
calculated total energy = -2.75 eV/atom